No. 1
VASP calculation (PBE) on crystalline CsPa2Se4 at its relaxed geometry.

Cell: 8.428 8.428 14.068 Å, 90.00 90.00 90.00°
Space group I4_1/amd (No. 141, origin choice 2)
Unique sites:
1 Cs 0.000 0.250 0.375
2 Pa 0.000 0.000 0.000
3 Se 0.000 0.020 0.793

The value obtained for the total energy is -6.0435 eV per atom.


No. 2
VASP calculation (PBE) on crystalline CsPaSe2 at its relaxed geometry.

Cell: 4.1912 4.1912 26.0811 Å, 90.00 90.00 120.00°
Space group R3m (No. 160, hexagonal axes)
Unique sites:
1 Cs 0.0000 0.0000 0.0000
2 Pa 0.0000 0.0000 0.8297
3 Se 0.0000 0.0000 0.2273
4 Se 0.0000 0.0000 0.4326

The value obtained for the total energy is -5.5926 eV per atom.


No. 3
VASP calculation (PBE) on crystalline Cs4PaSe5 at its relaxed geometry.

Cell: 12.165 12.165 5.787 Å, 90.00 90.00 90.00°
Space group I4/mmm (No. 139)
Unique sites:
1 Cs 0.000 0.279 0.000
2 Pa 0.000 0.000 0.500
3 Se 0.000 0.000 0.000
4 Se 0.160 0.160 0.500

The value obtained for the total energy is -4.2124 eV per atom.


No. 4
VASP calculation (PBE) on crystalline CsPa3Se8 at its relaxed geometry.

Cell: 7.3365 7.3365 9.2112 Å, 90.00 90.00 120.00°
Space group P-3 (No. 147)
Unique sites:
1 Cs 0.0000 0.0000 0.0000
2 Pa 0.0000 0.0000 0.5000
3 Pa 0.3333 0.6667 0.5812
4 Se 0.0644 0.3588 0.3538
5 Se 0.3333 0.6667 0.8614

The value obtained for the total energy is -6.0307 eV per atom.


Number 1: uncorrected formation energy -822 kJ/mol of formula units. Number 2: uncorrected formation energy -487 kJ/mol of formula units. Number 3: uncorrected formation energy -1138 kJ/mol of formula units. Number 4: uncorrected formation energy -1462 kJ/mol of formula units.